1.
{
  "formula": "Te3W",
  "functional": "PBE",
  "state": "relaxed",
  "final_energy_ev_per_atom": -5.170,
  "magmom_total_mub_per_fu": 0.0,
  "spacegroup": "No. 71",
  "mass_density_g_cm3": 8.766,
  "e_form_raw_ev_per_atom": 0.43,
  "cell": [[7.170, 0.009, -0.007], [4.705, 5.410, 0.007], [-5.491, -3.686, 2.768]],
  "species": ["Te", "Te", "Te", "W"],
  "fractional_positions": [[0.750, 0.250, 0.500], [0.079, 0.079, 0.000], [0.421, 0.421, 0.000], [0.250, 0.750, 0.500]]
}


2.
{
  "formula": "Fe2RePt4",
  "functional": "PBE",
  "state": "relaxed",
  "final_energy_ev_per_atom": -6.560,
  "magmom_total_mub_per_fu": 6.4,
  "spacegroup": "No. 139",
  "mass_density_g_cm3": 12.527,
  "ef_mev_per_atom": 1088,
  "cell": [[4.851, 0.000, 0.000], [0.000, 4.851, 0.000], [2.426, 2.426, 6.073]],
  "species": ["Fe", "Fe", "Pt", "Pt", "Pt", "Pt", "Re"],
  "fractional_positions": [[0.596, 0.596, 0.808], [0.404, 0.404, 0.192], [0.797, 0.797, 0.407], [0.000, 0.500, 0.000], [0.203, 0.203, 0.593], [0.500, 0.000, 0.000], [0.000, 0.000, 0.000]]
}


3.
{
  "formula": "Sm7Pt2Au2",
  "functional": "PBE",
  "state": "relaxed",
  "final_energy_ev_per_atom": -5.433,
  "magmom_total_mub_per_fu": 0.0,
  "spacegroup": "No. 44",
  "mass_density_g_cm3": 9.876,
  "ef_mev_per_atom": -736,
  "cell": [[3.866, 0.000, 0.829], [1.017, 8.293, 4.687], [-0.033, -0.084, 9.580]],
  "species": ["Au", "Au", "Sm", "Sm", "Sm", "Sm", "Sm", "Sm", "Sm", "Pt", "Pt"],
  "fractional_positions": [[0.264, 0.341, 0.131], [0.736, 0.869, 0.659], [0.809, 0.085, 0.298], [0.500, 0.983, 0.017], [0.117, 0.145, 0.622], [0.883, 0.378, 0.855], [0.191, 0.702, 0.915], [0.391, 0.719, 0.498], [0.609, 0.502, 0.281], [0.000, 0.767, 0.233], [0.500, 0.363, 0.637]]
}


4.
{
  "formula": "Ac2CuGe3Au4",
  "functional": "PBE",
  "state": "relaxed",
  "final_energy_ev_per_atom": -4.501,
  "magmom_total_mub_per_fu": 0.0,
  "spacegroup": "No. 115",
  "mass_density_g_cm3": 11.455,
  "ef_mev_per_atom": -574,
  "cell": [[-3.705, -0.413, 2.692], [2.601, -1.879, 3.293], [1.828, 9.487, 3.971]],
  "species": ["Ac", "Ac", "Au", "Au", "Au", "Au", "Ge", "Ge", "Ge", "Cu"],
  "fractional_positions": [[0.500, 0.000, 0.252], [0.000, 0.500, 0.748], [0.000, 0.000, 0.000], [0.500, 0.000, 0.619], [0.500, 0.500, 0.000], [0.000, 0.500, 0.381], [0.000, 0.500, 0.134], [0.000, 0.000, 0.500], [0.500, 0.000, 0.866], [0.500, 0.500, 0.500]]
}